{"formula": "ZnCuTcAs", "functional": "PBE", "state": "optimized geometry", "de_polymorph_ev_per_atom": 0.000, "lattice_angstrom": [[0.0000, 3.0502, 3.0502], [3.0502, 0.0000, 3.0502], [3.0502, 3.0502, 0.0000]], "species": ["Zn", "Cu", "Tc", "As"], "fractional_positions": [[0.0000, 0.0000, 0.0000], [0.7500, 0.7500, 0.7500], [0.2500, 0.2500, 0.2500], [0.5000, 0.5000, 0.5000]]}